1.
Here is MnReTc after structural relaxation from the Alexandria database. Energies are from PBE-GGA.

Geometry as CIF:
```
data_MnReTc
_symmetry_space_group_name_H-M 'F -4 3 m'
_symmetry_Int_Tables_number 216
_symmetry_space_group_name_Hall 'F -4 2 3'
_cell_length_a 5.685
_cell_length_b 5.685
_cell_length_c 5.685
_cell_angle_alpha 90.00
_cell_angle_beta 90.00
_cell_angle_gamma 90.00
loop_
_atom_site_label
_atom_site_fract_x
_atom_site_fract_y
_atom_site_fract_z
_atom_site_occupancy
Mn1 0.000 0.000 0.000 1
Re1 0.250 0.250 0.250 1
Tc1 0.250 0.250 0.750 1
```

The value obtained for the offset from the most stable computed form is 472 meV/atom. Its crystal system is cubic.

2.
Here is Zr3NO after structural relaxation from the Alexandria database. Energies are from PBE-GGA.

Geometry as CIF:
```
data_Zr3NO
_symmetry_space_group_name_H-M 'R -3'
_symmetry_Int_Tables_number 148
_symmetry_space_group_name_Hall '-R 3'
_cell_length_a 5.6706
_cell_length_b 5.6706
_cell_length_c 15.8344
_cell_angle_alpha 90.00
_cell_angle_beta 90.00
_cell_angle_gamma 120.00
loop_
_atom_site_label
_atom_site_fract_x
_atom_site_fract_y
_atom_site_fract_z
_atom_site_occupancy
Zr1 0.0032 0.3408 0.4183 1
N1 0.0000 0.0000 0.1631 1
O1 0.0000 0.0000 0.3390 1
```

The value obtained for the offset from the most stable computed form is 0 meV/atom. Its crystal system is trigonal. The raw formation energy is -1.7406 eV per atom.

3.
Here is Cs2BeVBr6 after structural relaxation from the Alexandria database. Energies are from PBE-GGA.

Geometry as CIF:
```
data_Cs2BeVBr6
_symmetry_space_group_name_H-M 'I 4/m m m'
_symmetry_Int_Tables_number 139
_symmetry_space_group_name_Hall '-I 4 2'
_cell_length_a 7.257
_cell_length_b 7.257
_cell_length_c 11.644
_cell_angle_alpha 90.00
_cell_angle_beta 90.00
_cell_angle_gamma 90.00
loop_
_atom_site_label
_atom_site_fract_x
_atom_site_fract_y
_atom_site_fract_z
_atom_site_occupancy
Cs1 0.000 0.500 0.250 1
Be1 0.000 0.000 0.000 1
V1 0.000 0.000 0.500 1
Br1 0.000 0.000 0.277 1
Br2 0.230 0.230 0.000 1
```

Its crystal system is tetragonal. The raw formation energy is -1.0844 eV per atom.

4.
Here is LiCePb6 after structural relaxation from the Alexandria database. Energies are from PBE-GGA.

Geometry as CIF:
```
data_LiCePb6
_symmetry_space_group_name_H-M 'P 4/m m m'
_symmetry_Int_Tables_number 123
_symmetry_space_group_name_Hall '-P 4 2'
_cell_length_a 6.932
_cell_length_b 6.932
_cell_length_c 4.830
_cell_angle_alpha 90.00
_cell_angle_beta 90.00
_cell_angle_gamma 90.00
loop_
_atom_site_label
_atom_site_fract_x
_atom_site_fract_y
_atom_site_fract_z
_atom_site_occupancy
Li1 0.000 0.000 0.000 1
Ce1 0.500 0.500 0.000 1
Pb1 0.000 0.500 0.000 1
Pb2 0.241 0.241 0.500 1
```

Its crystal system is tetragonal. Its energy is -3.971 eV per atom.

5.
Here is Sr3MoRu after structural relaxation from the Alexandria database. Energies are from PBE-GGA.

Geometry as CIF:
```
data_Sr3MoRu
_symmetry_space_group_name_H-M 'P m -3 m'
_symmetry_Int_Tables_number 221
_symmetry_space_group_name_Hall '-P 4 2 3'
_cell_length_a 5.667
_cell_length_b 5.667
_cell_length_c 5.667
_cell_angle_alpha 90.00
_cell_angle_beta 90.00
_cell_angle_gamma 90.00
loop_
_atom_site_label
_atom_site_fract_x
_atom_site_fract_y
_atom_site_fract_z
_atom_site_occupancy
Sr1 0.000 0.000 0.500 1
Mo1 0.500 0.500 0.500 1
Ru1 0.000 0.000 0.000 1
```

The value obtained for the offset from the most stable computed form is 0 meV/atom. Its crystal system is cubic.

6.
Here is LaTbCd2Au4 after structural relaxation from the Alexandria database. Energies are from PBE-GGA.

Geometry as CIF:
```
data_LaTbCd2Au4
_symmetry_space_group_name_H-M 'R -3 m'
_symmetry_Int_Tables_number 166
_symmetry_space_group_name_Hall '-R 3 2"'
_cell_length_a 5.0330
_cell_length_b 5.0330
_cell_length_c 24.6025
_cell_angle_alpha 90.00
_cell_angle_beta 90.00
_cell_angle_gamma 120.00
loop_
_atom_site_label
_atom_site_fract_x
_atom_site_fract_y
_atom_site_fract_z
_atom_site_occupancy
La1 0.0000 0.0000 0.0000 1
Tb1 0.0000 0.0000 0.5000 1
Cd1 0.0000 0.0000 0.2499 1
Au1 0.0000 0.0000 0.1296 1
Au2 0.0000 0.0000 0.3794 1
```

Its crystal system is trigonal. Its energy is -3.727 eV per atom.

7.
Here is HfCu2GeOs after structural relaxation from the Alexandria database. Energies are from PBE-GGA.

Geometry as CIF:
```
data_HfCu2GeOs
_symmetry_space_group_name_H-M 'P 4/m m m'
_symmetry_Int_Tables_number 123
_symmetry_space_group_name_Hall '-P 4 2'
_cell_length_a 4.620
_cell_length_b 4.620
_cell_length_c 4.562
_cell_angle_alpha 90.00
_cell_angle_beta 90.00
_cell_angle_gamma 90.00
loop_
_atom_site_label
_atom_site_fract_x
_atom_site_fract_y
_atom_site_fract_z
_atom_site_occupancy
Hf1 0.000 0.000 0.000 1
Cu1 0.000 0.500 0.500 1
Ge1 0.500 0.500 0.000 1
Os1 0.500 0.500 0.500 1
```

Its crystal system is tetragonal. Its energy is -5.946 eV per atom.

8.
Here is CaSn3I2Br6 after structural relaxation from the Alexandria database. Energies are from PBE-GGA.

Geometry as CIF:
```
data_CaSn3I2Br6
_symmetry_space_group_name_H-M 'C 1 2/m 1'
_symmetry_Int_Tables_number 12
_cell_length_a 15.377
_cell_length_b 8.612
_cell_length_c 6.920
_cell_angle_alpha 90.00
_cell_angle_beta 93.92
_cell_angle_gamma 90.00
loop_
_symmetry_equiv_pos_as_xyz
'x,y,z'
'-x,-y,-z'
'-x,y,-z'
'x,-y,z'
'x+1/2,y+1/2,z'
'-x+1/2,-y+1/2,-z'
'-x+1/2,y+1/2,-z'
'x+1/2,-y+1/2,z'
loop_
_atom_site_label
_atom_site_fract_x
_atom_site_fract_y
_atom_site_fract_z
_atom_site_occupancy
Ca1 0.000 0.000 0.000 1
Sn1 0.000 0.500 0.500 1
Sn2 0.250 0.250 0.000 1
I1 0.176 0.500 0.286 1
Br1 0.078 0.244 0.762 1
Br2 0.166 0.000 0.225 1
```

Its crystal system is monoclinic. The raw formation energy is -0.9941 eV per atom.